InPbW2 | Alexandria via LeMat-Bulk | PBE | relaxed; E above lowest polymorph = 0.685 eV/atom; density of states at the Fermi level = 0.97 states/eV/atom; E_tot = -6.929 eV/atom; E_form = 1.160 eV per atom
1.0
-2.069 2.069 4.581
2.069 -2.069 4.581
2.069 2.069 -4.581
In Pb W
1 1 2
Cartesian
0.000 0.000 0.000 In
0.000 0.000 4.581 Pb
2.069 0.000 2.291 W
0.000 2.069 2.291 W